DFT (PBE) results for a relaxed structure of Li3In4Sn2.

Volume, A^3/atom: 22.98
Distance to the lowest polymorph of the same formula, eV per atom: 0.000
E_tot, eV/f.u.: -26.295
Energy of formation, eV per atom: -0.177

Structure (POSCAR):
```
Li3In4Sn2
1.0
4.398 0.000 0.000
2.175 5.185 0.000
2.168 1.613 9.069
Li In Sn
3 4 2
Direct
0.000 0.000 0.000
0.330 0.780 0.562
0.670 0.220 0.438
0.010 0.332 0.652
0.332 0.447 0.889
0.668 0.553 0.111
0.990 0.668 0.348
0.335 0.087 0.237
0.665 0.913 0.763
```

---

DFT (PBE) results for a relaxed structure of InSnF3.

Volume, A^3/atom: 20.61
E_tot, eV/f.u.: -22.411
Formation energy from raw total energies, eV per atom: -2.0112

Structure (POSCAR):
```
InSnF3
1.0
1.850 -7.926 0.000
1.850 7.926 0.000
0.000 0.000 7.029
In Sn F
2 2 6
Direct
0.104 0.896 0.500
0.896 0.104 0.000
0.360 0.640 0.494
0.640 0.360 0.994
0.044 0.956 0.030
0.199 0.801 0.838
0.424 0.576 0.226
0.576 0.424 0.726
0.801 0.199 0.338
0.956 0.044 0.530
```

---

DFT (PBE) results for a relaxed structure of Pr3Sm5Ho4.

Volume, A^3/atom: 34.08
Distance to the lowest polymorph of the same formula, eV per atom: 0.204
E_tot, eV/f.u.: -53.603
Energy of formation, eV per atom: 0.220

Structure (POSCAR):
```
Pr3Sm5Ho4
1.0
8.116 -2.997 0.000
8.116 2.997 0.000
-4.127 0.000 8.407
Pr Sm Ho
3 5 4
Direct
0.000 0.000 0.000
0.327 0.327 0.615
0.673 0.673 0.385
0.208 0.208 0.228
0.424 0.424 0.301
0.500 0.500 0.000
0.576 0.576 0.699
0.792 0.792 0.772
0.081 0.081 0.443
0.213 0.213 0.878
0.787 0.787 0.122
0.919 0.919 0.557
```

---

DFT (PBE) results for a relaxed structure of Ti2Ag2Ge.

Volume, A^3/atom: 18.82
Distance to the lowest polymorph of the same formula, eV per atom: 0.000
E_tot, eV/f.u.: -25.417
Energy of formation, eV per atom: 0.138

Structure (POSCAR):
```
Ti2Ag2Ge
1.0
6.642 0.000 0.000
0.000 6.642 0.000
0.000 0.000 4.267
Ti Ag Ge
4 4 2
Direct
0.143 0.357 0.000
0.357 0.857 0.000
0.643 0.143 0.000
0.857 0.643 0.000
0.151 0.651 0.500
0.349 0.151 0.500
0.651 0.849 0.500
0.849 0.349 0.500
0.000 0.000 0.000
0.500 0.500 0.000
```

---

DFT (PBE) results for a relaxed structure of Dy4CuPd2.

Volume, A^3/atom: 23.97
E_tot, eV/f.u.: -36.470
Energy of formation, eV per atom: -0.511

Structure (POSCAR):
```
Dy4CuPd2
1.0
6.996 0.000 0.000
0.000 9.794 0.000
0.000 0.000 4.899
Dy Cu Pd
8 2 4
Direct
0.249 0.000 0.000
0.250 0.250 0.500
0.250 0.750 0.500
0.251 0.500 0.000
0.749 0.500 0.000
0.750 0.250 0.500
0.750 0.750 0.500
0.751 0.000 0.000
0.000 0.500 0.500
0.500 0.000 0.500
0.000 0.252 0.000
0.000 0.748 0.000
0.500 0.248 0.000
0.500 0.752 0.000
```

---

DFT (PBE) results for a relaxed structure of BaMgSi2.

Volume, A^3/atom: 26.53
E_tot, eV/f.u.: -12.901
Formation energy from raw total energies, eV per atom: 0.3655

Structure (POSCAR):
```
BaMgSi2
1.0
3.720 0.000 0.000
-1.860 3.222 0.000
0.000 0.000 26.558
Ba Mg Si
3 3 6
Direct
0.000 0.000 0.000
0.333 0.667 0.667
0.667 0.333 0.333
0.000 0.000 0.500
0.333 0.667 0.167
0.667 0.333 0.833
0.000 0.000 0.237
0.000 0.000 0.763
0.333 0.667 0.430
0.333 0.667 0.903
0.667 0.333 0.097
0.667 0.333 0.570
```

---

DFT (PBE) results for a relaxed structure of Er4CuHg3.

Volume, A^3/atom: 23.99
E_tot, eV/f.u.: -26.616
Energy of formation, eV per atom: -0.420

Structure (POSCAR):
```
Er4CuHg3
1.0
3.599 0.000 0.000
0.000 3.599 0.000
0.000 0.000 14.814
Er Cu Hg
4 1 3
Direct
0.000 0.000 0.111
0.000 0.000 0.371
0.000 0.000 0.629
0.000 0.000 0.889
0.500 0.500 0.000
0.500 0.500 0.242
0.500 0.500 0.500
0.500 0.500 0.758
```

---

DFT (PBE) results for a relaxed structure of Sr2Hg5Bi2.

Volume, A^3/atom: 31.92
E_tot, eV/f.u.: -15.650
Energy of formation, eV per atom: -0.335

Structure (POSCAR):
```
Sr2Hg5Bi2
1.0
-4.948 8.855 3.279
4.948 -8.855 3.279
4.948 8.855 -3.279
Sr Hg Bi
4 10 4
Direct
0.378 0.000 0.878
0.378 0.500 0.378
0.622 0.000 0.122
0.622 0.500 0.622
0.070 0.424 0.646
0.189 0.000 0.689
0.189 0.500 0.189
0.278 0.424 0.854
0.325 0.075 0.250
0.675 0.925 0.750
0.722 0.576 0.146
0.811 0.000 0.311
0.811 0.500 0.811
0.930 0.576 0.354
0.000 0.000 0.000
0.000 0.000 0.500
0.000 0.500 0.000
0.500 0.000 0.500
```

---

DFT (PBE) results for a relaxed structure of KCu2Sb.

Volume, A^3/atom: 26.37
E_tot, eV/f.u.: -13.857
Formation energy from raw total energies, eV per atom: -0.1112

Structure (POSCAR):
```
KCu2Sb
1.0
7.719 0.000 0.000
0.000 4.454 0.000
-2.572 0.000 6.136
K Cu Sb
2 4 2
Direct
0.000 0.000 0.000
0.500 0.500 0.000
0.320 0.500 0.454
0.491 0.000 0.467
0.820 0.000 0.454
0.991 0.500 0.467
0.192 0.000 0.571
0.692 0.500 0.571
```

---

DFT (PBE) results for a relaxed structure of TlH6PdRh.

Volume, A^3/atom: 11.14
E_tot, eV/f.u.: -34.924

Structure (POSCAR):
```
TlH6PdRh
1.0
4.830 0.000 0.000
2.124 4.476 0.000
2.326 1.274 4.639
Tl H Pd Rh
1 6 1 1
Direct
0.000 0.000 0.000
0.241 0.181 0.392
0.337 0.606 0.735
0.433 0.761 0.299
0.552 0.196 0.531
0.806 0.794 0.671
0.817 0.518 0.493
0.176 0.498 0.543
0.535 0.869 0.502
```

---

DFT (PBE) results for a relaxed structure of Ga2NiAu2.

Volume, A^3/atom: 16.62
Distance to the lowest polymorph of the same formula, eV per atom: 0.000
E_tot, eV/f.u.: -19.525
Energy of formation, eV per atom: -0.227

Structure (POSCAR):
```
Ga2NiAu2
1.0
5.868 0.000 0.000
0.000 4.001 0.000
-2.641 0.000 7.078
Ga Ni Au
4 2 4
Direct
0.175 0.250 0.155
0.273 0.250 0.711
0.727 0.750 0.289
0.825 0.750 0.845
0.017 0.750 0.612
0.983 0.250 0.388
0.312 0.750 0.987
0.319 0.750 0.408
0.681 0.250 0.592
0.688 0.250 0.013
```

---

DFT (PBE) results for a relaxed structure of As2HAuSe.

Volume, A^3/atom: 26.96
Distance to the lowest polymorph of the same formula, eV per atom: 0.593
E_tot, eV/f.u.: -13.324

Structure (POSCAR):
```
As2HAuSe
1.0
5.060 0.000 0.000
0.000 5.060 0.000
0.000 0.000 5.266
As H Au Se
2 1 1 1
Direct
0.000 0.500 0.000
0.500 0.000 0.000
0.000 0.000 0.500
0.500 0.500 0.000
0.500 0.500 0.500
```